MgAuSe after structural relaxation. Source: the Alexandria database, functional PBE.

Cell: 4.5380 4.5380 4.5380 Å, 60.00 60.00 60.00°
Fractional positions:
Mg: 0.7500 0.7500 0.7500
Se: 0.0000 0.0000 0.0000
Au: 0.5000 0.5000 0.5000

Values from the calculation:
**Electronic total energy**: -3.18 eV/atom
**Crystal system**: cubic
**Symmetry**: No. 216
**ΔE_f (raw)**: -0.3983 eV per atom